No. 1
Compound: YThScTl
Source: Alexandria via LeMat-Bulk
Functional: PBE
Structure: optimized geometry

Values from the calculation:
Total magnetization ... 0.0 Bohr magnetons per cell
Formation energy ... 10 meV/atom

Cell lengths 7.6707, 7.6707, 7.6707 Å; angles 90.00, 90.00, 90.00 degrees
Space group F-43m (No. 216)
Unique sites:
Y 0.0000 0.0000 0.0000
Th 0.0000 0.0000 0.5000
Sc 0.2500 0.2500 0.7500
Tl 0.2500 0.2500 0.2500

---

No. 2
Compound: TmTh6Sc
Source: Alexandria via LeMat-Bulk
Functional: PBE
Structure: optimized geometry

Values from the calculation:
Energy relative to the lowest polymorph listed for this composition ... 0.0 meV/atom
Total magnetization ... 0.0 Bohr magnetons per cell
Formation energy ... 57 meV/atom

Cell lengths 5.0001, 5.0001, 9.9946 Å; angles 90.00, 90.00, 90.00 degrees
Space group P4/mmm (No. 123)
Unique sites:
Tm 0.0000 0.0000 0.0000
Th 0.0000 0.5000 0.2535
Th 0.5000 0.5000 0.0000
Th 0.5000 0.5000 0.5000
Sc 0.0000 0.0000 0.5000